(1)
Material: SbC3S
Method: DFT, GGA-PBE
State: optimized geometry

Summary:
* electronic total energy: -4.727 eV per atom
* relative energy among the computed polymorphs: 0.000 eV per atom

```
data_SbC3S
_chemical_formula_sum 'Sb1 C3 S1'
_symmetry_space_group_name_H-M 'P m -3 m'
_symmetry_Int_Tables_number 221
_symmetry_space_group_name_Hall '-P 4 2 3'
_cell_length_a 3.762
_cell_length_b 3.762
_cell_length_c 3.762
_cell_angle_alpha 90.00
_cell_angle_beta 90.00
_cell_angle_gamma 90.00
loop_
_atom_site_label
_atom_site_fract_x
_atom_site_fract_y
_atom_site_fract_z
Sb1 0.000 0.000 0.000
C1 0.000 0.500 0.500
S1 0.500 0.500 0.500
```

(2)
Material: SbC3S
Method: DFT, GGA-PBE
State: optimized geometry

Summary:
* electronic total energy: -4.039 eV per atom
* relative energy among the computed polymorphs: 0.688 eV per atom

```
data_SbC3S
_chemical_formula_sum 'Sb1 C3 S1'
_symmetry_space_group_name_H-M 'P m -3 m'
_symmetry_Int_Tables_number 221
_symmetry_space_group_name_Hall '-P 4 2 3'
_cell_length_a 4.273
_cell_length_b 4.273
_cell_length_c 4.273
_cell_angle_alpha 90.00
_cell_angle_beta 90.00
_cell_angle_gamma 90.00
loop_
_atom_site_label
_atom_site_fract_x
_atom_site_fract_y
_atom_site_fract_z
Sb1 0.000 0.000 0.000
C1 0.000 0.000 0.500
S1 0.500 0.500 0.500
```